[1]
{
  "formula": "HfFeBOs",
  "functional": "PBE-GGA",
  "state": "relaxed",
  "cell": [[6.076, 0.000, 0.000], [0.000, 6.076, 0.000], [0.000, 0.000, 6.076]],
  "species": ["Hf", "Hf", "Hf", "Hf", "Fe", "Fe", "Fe", "Fe", "B", "B", "B", "B", "Os", "Os", "Os", "Os"],
  "fractional_positions": [[0.000, 0.000, 0.000], [0.000, 0.500, 0.500], [0.500, 0.000, 0.500], [0.500, 0.500, 0.000], [0.000, 0.000, 0.500], [0.000, 0.500, 0.000], [0.500, 0.000, 0.000], [0.500, 0.500, 0.500], [0.250, 0.250, 0.250], [0.250, 0.750, 0.750], [0.750, 0.250, 0.750], [0.750, 0.750, 0.250], [0.250, 0.250, 0.750], [0.250, 0.750, 0.250], [0.750, 0.250, 0.250], [0.750, 0.750, 0.750]]
}



[2]
{
  "formula": "HfFeBOs",
  "functional": "PBE-GGA",
  "state": "relaxed",
  "cell": [[5.930, 0.000, 0.000], [0.000, 5.930, 0.000], [0.000, 0.000, 5.930]],
  "species": ["Hf", "Hf", "Hf", "Hf", "Fe", "Fe", "Fe", "Fe", "B", "B", "B", "B", "Os", "Os", "Os", "Os"],
  "fractional_positions": [[0.000, 0.000, 0.000], [0.000, 0.500, 0.500], [0.500, 0.000, 0.500], [0.500, 0.500, 0.000], [0.250, 0.250, 0.750], [0.250, 0.750, 0.250], [0.750, 0.250, 0.250], [0.750, 0.750, 0.750], [0.000, 0.000, 0.500], [0.000, 0.500, 0.000], [0.500, 0.000, 0.000], [0.500, 0.500, 0.500], [0.250, 0.250, 0.250], [0.250, 0.750, 0.750], [0.750, 0.250, 0.750], [0.750, 0.750, 0.250]]
}



[3]
{
  "formula": "HfFeBPt",
  "functional": "PBE-GGA",
  "state": "relaxed",
  "cell": [[6.003, 0.000, 0.000], [0.000, 6.003, 0.000], [0.000, 0.000, 6.003]],
  "species": ["Hf", "Hf", "Hf", "Hf", "Fe", "Fe", "Fe", "Fe", "B", "B", "B", "B", "Pt", "Pt", "Pt", "Pt"],
  "fractional_positions": [[0.000, 0.000, 0.000], [0.000, 0.500, 0.500], [0.500, 0.000, 0.500], [0.500, 0.500, 0.000], [0.250, 0.250, 0.750], [0.250, 0.750, 0.250], [0.750, 0.250, 0.250], [0.750, 0.750, 0.750], [0.000, 0.000, 0.500], [0.000, 0.500, 0.000], [0.500, 0.000, 0.000], [0.500, 0.500, 0.500], [0.250, 0.250, 0.250], [0.250, 0.750, 0.750], [0.750, 0.250, 0.750], [0.750, 0.750, 0.250]]
}



[4]
{
  "formula": "HfFeBPt",
  "functional": "PBE-GGA",
  "state": "relaxed",
  "cell": [[6.122, 0.000, 0.000], [0.000, 6.122, 0.000], [0.000, 0.000, 6.122]],
  "species": ["Hf", "Hf", "Hf", "Hf", "Fe", "Fe", "Fe", "Fe", "B", "B", "B", "B", "Pt", "Pt", "Pt", "Pt"],
  "fractional_positions": [[0.000, 0.000, 0.000], [0.000, 0.500, 0.500], [0.500, 0.000, 0.500], [0.500, 0.500, 0.000], [0.000, 0.000, 0.500], [0.000, 0.500, 0.000], [0.500, 0.000, 0.000], [0.500, 0.500, 0.500], [0.250, 0.250, 0.250], [0.250, 0.750, 0.750], [0.750, 0.250, 0.750], [0.750, 0.750, 0.250], [0.250, 0.250, 0.750], [0.250, 0.750, 0.250], [0.750, 0.250, 0.250], [0.750, 0.750, 0.750]]
}



[5]
{
  "formula": "HfFeReB",
  "functional": "PBE-GGA",
  "state": "relaxed",
  "cell": [[6.069, 0.000, 0.000], [0.000, 6.069, 0.000], [0.000, 0.000, 6.069]],
  "species": ["Hf", "Hf", "Hf", "Hf", "Fe", "Fe", "Fe", "Fe", "Re", "Re", "Re", "Re", "B", "B", "B", "B"],
  "fractional_positions": [[0.000, 0.000, 0.000], [0.000, 0.500, 0.500], [0.500, 0.000, 0.500], [0.500, 0.500, 0.000], [0.000, 0.000, 0.500], [0.000, 0.500, 0.000], [0.500, 0.000, 0.000], [0.500, 0.500, 0.500], [0.250, 0.250, 0.750], [0.250, 0.750, 0.250], [0.750, 0.250, 0.250], [0.750, 0.750, 0.750], [0.250, 0.250, 0.250], [0.250, 0.750, 0.750], [0.750, 0.250, 0.750], [0.750, 0.750, 0.250]]
}



[6]
{
  "formula": "HfFeReB",
  "functional": "PBE-GGA",
  "state": "relaxed",
  "cell": [[5.959, 0.000, 0.000], [0.000, 5.959, 0.000], [0.000, 0.000, 5.959]],
  "species": ["Hf", "Hf", "Hf", "Hf", "Fe", "Fe", "Fe", "Fe", "Re", "Re", "Re", "Re", "B", "B", "B", "B"],
  "fractional_positions": [[0.000, 0.000, 0.000], [0.000, 0.500, 0.500], [0.500, 0.000, 0.500], [0.500, 0.500, 0.000], [0.250, 0.250, 0.750], [0.250, 0.750, 0.250], [0.750, 0.250, 0.250], [0.750, 0.750, 0.750], [0.250, 0.250, 0.250], [0.250, 0.750, 0.750], [0.750, 0.250, 0.750], [0.750, 0.750, 0.250], [0.000, 0.000, 0.500], [0.000, 0.500, 0.000], [0.500, 0.000, 0.000], [0.500, 0.500, 0.500]]
}



[7]
{
  "formula": "HfScFeB",
  "functional": "PBE-GGA",
  "state": "relaxed",
  "cell": [[5.995, 0.000, 0.000], [0.000, 5.995, 0.000], [0.000, 0.000, 5.995]],
  "species": ["Hf", "Hf", "Hf", "Hf", "Sc", "Sc", "Sc", "Sc", "Fe", "Fe", "Fe", "Fe", "B", "B", "B", "B"],
  "fractional_positions": [[0.000, 0.000, 0.000], [0.000, 0.500, 0.500], [0.500, 0.000, 0.500], [0.500, 0.500, 0.000], [0.250, 0.250, 0.250], [0.250, 0.750, 0.750], [0.750, 0.250, 0.750], [0.750, 0.750, 0.250], [0.250, 0.250, 0.750], [0.250, 0.750, 0.250], [0.750, 0.250, 0.250], [0.750, 0.750, 0.750], [0.000, 0.000, 0.500], [0.000, 0.500, 0.000], [0.500, 0.000, 0.000], [0.500, 0.500, 0.500]]
}



[8]
{
  "formula": "HfTaFeB",
  "functional": "PBE-GGA",
  "state": "relaxed",
  "cell": [[6.064, 0.000, 0.000], [0.000, 6.064, 0.000], [0.000, 0.000, 6.064]],
  "species": ["Hf", "Hf", "Hf", "Hf", "Ta", "Ta", "Ta", "Ta", "Fe", "Fe", "Fe", "Fe", "B", "B", "B", "B"],
  "fractional_positions": [[0.000, 0.000, 0.000], [0.000, 0.500, 0.500], [0.500, 0.000, 0.500], [0.500, 0.500, 0.000], [0.250, 0.250, 0.750], [0.250, 0.750, 0.250], [0.750, 0.250, 0.250], [0.750, 0.750, 0.750], [0.000, 0.000, 0.500], [0.000, 0.500, 0.000], [0.500, 0.000, 0.000], [0.500, 0.500, 0.500], [0.250, 0.250, 0.250], [0.250, 0.750, 0.750], [0.750, 0.250, 0.750], [0.750, 0.750, 0.250]]
}



[9]
{
  "formula": "HfFeTcB",
  "functional": "PBE-GGA",
  "state": "relaxed",
  "cell": [[5.919, 0.000, 0.000], [0.000, 5.919, 0.000], [0.000, 0.000, 5.919]],
  "species": ["Hf", "Hf", "Hf", "Hf", "Fe", "Fe", "Fe", "Fe", "Tc", "Tc", "Tc", "Tc", "B", "B", "B", "B"],
  "fractional_positions": [[0.000, 0.000, 0.000], [0.000, 0.500, 0.500], [0.500, 0.000, 0.500], [0.500, 0.500, 0.000], [0.250, 0.250, 0.750], [0.250, 0.750, 0.250], [0.750, 0.250, 0.250], [0.750, 0.750, 0.750], [0.250, 0.250, 0.250], [0.250, 0.750, 0.750], [0.750, 0.250, 0.750], [0.750, 0.750, 0.250], [0.000, 0.000, 0.500], [0.000, 0.500, 0.000], [0.500, 0.000, 0.000], [0.500, 0.500, 0.500]]
}



[10]
{
  "formula": "HfFeTcB",
  "functional": "PBE-GGA",
  "state": "relaxed",
  "cell": [[6.035, 0.000, 0.000], [0.000, 6.035, 0.000], [0.000, 0.000, 6.035]],
  "species": ["Hf", "Hf", "Hf", "Hf", "Fe", "Fe", "Fe", "Fe", "Tc", "Tc", "Tc", "Tc", "B", "B", "B", "B"],
  "fractional_positions": [[0.000, 0.000, 0.000], [0.000, 0.500, 0.500], [0.500, 0.000, 0.500], [0.500, 0.500, 0.000], [0.000, 0.000, 0.500], [0.000, 0.500, 0.000], [0.500, 0.000, 0.000], [0.500, 0.500, 0.500], [0.250, 0.250, 0.750], [0.250, 0.750, 0.250], [0.750, 0.250, 0.250], [0.750, 0.750, 0.750], [0.250, 0.250, 0.250], [0.250, 0.750, 0.750], [0.750, 0.250, 0.750], [0.750, 0.750, 0.250]]
}



[11]
{
  "formula": "YHfFeB",
  "functional": "PBE-GGA",
  "state": "relaxed",
  "cell": [[6.235, 0.000, 0.000], [0.000, 6.235, 0.000], [0.000, 0.000, 6.235]],
  "species": ["Y", "Y", "Y", "Y", "Hf", "Hf", "Hf", "Hf", "Fe", "Fe", "Fe", "Fe", "B", "B", "B", "B"],
  "fractional_positions": [[0.000, 0.000, 0.000], [0.000, 0.500, 0.500], [0.500, 0.000, 0.500], [0.500, 0.500, 0.000], [0.250, 0.250, 0.750], [0.250, 0.750, 0.250], [0.750, 0.250, 0.250], [0.750, 0.750, 0.750], [0.000, 0.000, 0.500], [0.000, 0.500, 0.000], [0.500, 0.000, 0.000], [0.500, 0.500, 0.500], [0.250, 0.250, 0.250], [0.250, 0.750, 0.750], [0.750, 0.250, 0.750], [0.750, 0.750, 0.250]]
}



[12]
{
  "formula": "FeHgB4",
  "functional": "PBE-GGA",
  "state": "relaxed",
  "cell": [[3.023, 0.000, 0.000], [0.000, 5.173, 0.000], [0.000, 0.000, 7.513]],
  "species": ["Fe", "Fe", "Hg", "Hg", "B", "B", "B", "B", "B", "B", "B", "B"],
  "fractional_positions": [[0.000, 0.000, 0.000], [0.500, 0.500, 0.500], [0.000, 0.000, 0.500], [0.500, 0.500, 0.000], [0.000, 0.334, 0.267], [0.000, 0.334, 0.733], [0.000, 0.666, 0.267], [0.000, 0.666, 0.733], [0.500, 0.166, 0.233], [0.500, 0.166, 0.767], [0.500, 0.834, 0.233], [0.500, 0.834, 0.767]]
}



How do the records compare in energy above the most stable polymorph in this dataset? In the order shown, they have 186 0 0 14 108 0 0 0 0 162 0 334 meV per atom.